An optimized crystal structure of TlVF3, computed with PBE with a Hubbard U.

a b c (Å): 3.327 7.918 7.609
angles (deg): 90.00 90.00 90.00
Space group Amm2 (No. 38)
Inequivalent atoms, fractional coordinates:
Tl 0.000 0.000 0.000 (multiplicity 2)
V 0.500 0.000 0.512 (multiplicity 2)
F 0.000 0.164 0.544 (multiplicity 4)
F 0.500 0.000 0.243 (multiplicity 2)

Values from the calculation:
- crystal system = orthorhombic
- energy above the lowest structure with this stoichiometry (eV per atom) = 0.174